No. 1
A plane-wave DFT calculation with PBE was carried out for a geometry-optimized Tb2YPd structure.

Cell: 3.599 3.599 8.451 Å, 90.00 90.00 90.00°
Atoms (fractional coordinates):
Tb 0.000 0.000 0.198
Tb 0.000 0.000 0.802
Pd 0.500 0.500 0.000
Y 0.500 0.500 0.500

Properties
Polymorph energy (0 for the lowest one) ... 0.279 eV/f.u.
M_tot ... 0.00 Bohr magnetons per cell
Electronic total energy ... -5.63 eV per atom

=====

No. 2
A plane-wave DFT calculation with PBE was carried out for a geometry-optimized Tb2YPd structure.

Cell: 6.458 7.067 9.767 Å, 90.00 90.00 90.00°
Atoms (fractional coordinates):
Tb 0.174 0.682 0.440
Tb 0.674 0.818 0.940
Tb 0.674 0.818 0.560
Tb 0.174 0.682 0.060
Tb 0.826 0.318 0.940
Tb 0.326 0.182 0.440
Tb 0.326 0.182 0.060
Tb 0.826 0.318 0.560
Y 0.134 0.976 0.750
Y 0.366 0.476 0.750
Y 0.866 0.024 0.250
Y 0.634 0.524 0.250
Pd 0.063 0.389 0.250
Pd 0.563 0.111 0.750
Pd 0.937 0.611 0.750
Pd 0.437 0.889 0.250

Properties
Polymorph energy (0 for the lowest one) ... 0.000 eV/f.u.
M_tot ... 0.00 Bohr magnetons per cell
Electronic total energy ... -5.70 eV per atom

=====

No. 3
A plane-wave DFT calculation with PBE was carried out for a geometry-optimized TbY4Pd2 structure.

Cell: 6.406 7.851 8.169 Å, 112.85 90.00 90.00°
Atoms (fractional coordinates):
Y 0.505 0.408 0.771
Y 0.750 0.021 0.391
Y 0.250 0.245 0.348
Y 0.005 0.592 0.229
Y 0.495 0.592 0.229
Y 0.250 0.979 0.609
Y 0.750 0.755 0.652
Y 0.995 0.408 0.771
Pd 0.750 0.382 0.417
Pd 0.250 0.618 0.583
Pd 0.750 0.764 0.009
Pd 0.250 0.236 0.991
Tb 0.250 0.846 0.973
Tb 0.750 0.154 0.027

Properties
Polymorph energy (0 for the lowest one) ... 0.000 eV/f.u.
M_tot ... 0.00 Bohr magnetons per cell
Electronic total energy ... -6.27 eV per atom

=====

No. 4
A plane-wave DFT calculation with PBE was carried out for a geometry-optimized Tb2YPd3 structure.

Cell: 3.447 5.032 15.093 Å, 90.00 90.00 90.00°
Atoms (fractional coordinates):
Tb 0.000 0.500 0.166
Tb 0.000 0.000 0.666
Tb 0.000 0.000 0.334
Tb 0.000 0.500 0.834
Y 0.999 0.500 0.500
Y 0.001 0.000 0.000
Pd 0.500 0.500 0.333
Pd 0.500 0.000 0.500
Pd 0.500 0.500 0.000
Pd 0.500 0.500 0.667
Pd 0.500 0.000 0.167
Pd 0.500 0.000 0.833

Properties
M_tot ... 0.00 Bohr magnetons per cell
Electronic total energy ... -6.09 eV per atom

=====

No. 5
A plane-wave DFT calculation with PBE was carried out for a geometry-optimized Tb2Y3Pd2 structure.

Cell: 3.720 10.195 6.617 Å, 54.91 73.74 89.97°
Atoms (fractional coordinates):
Tb 0.388 0.627 0.225
Tb 0.612 0.373 0.775
Y 0.000 0.000 0.000
Y 0.842 0.288 0.315
Y 0.158 0.712 0.685
Pd 0.358 0.073 0.283
Pd 0.642 0.927 0.717

Properties
Polymorph energy (0 for the lowest one) ... 0.872 eV/f.u.
M_tot ... 0.00 Bohr magnetons per cell
Electronic total energy ... -5.97 eV per atom

=====

No. 6
A plane-wave DFT calculation with PBE was carried out for a geometry-optimized Tb3Y3Pd2 structure.

Cell: 3.768 6.836 18.402 Å, 90.00 90.00 106.00°
Atoms (fractional coordinates):
Tb 0.416 0.831 0.250
Tb 0.584 0.169 0.750
Tb 0.666 0.331 0.052
Tb 0.666 0.331 0.448
Tb 0.334 0.669 0.552
Tb 0.334 0.669 0.948
Y 0.683 0.366 0.250
Y 0.317 0.634 0.750
Y 0.054 0.107 0.593
Y 0.054 0.107 0.907
Y 0.946 0.893 0.093
Y 0.946 0.893 0.407
Pd 0.725 0.450 0.636
Pd 0.275 0.550 0.364
Pd 0.725 0.450 0.864
Pd 0.275 0.550 0.136

Properties
M_tot ... 0.00 Bohr magnetons per cell
Electronic total energy ... -5.83 eV per atom

=====

No. 7
A plane-wave DFT calculation with PBE was carried out for a geometry-optimized TbY2Pd4 structure.

Cell: 5.622 5.616 8.672 Å, 105.60 144.10 80.50°
Atoms (fractional coordinates):
Y 0.985 0.338 0.647
Y 0.015 0.662 0.353
Pd 0.000 0.500 0.000
Pd 0.697 0.803 0.500
Pd 0.500 0.000 0.000
Pd 0.303 0.197 0.500
Tb 0.000 0.000 0.000

Properties
M_tot ... 0.00 Bohr magnetons per cell
Electronic total energy ... -6.27 eV per atom

=====

No. 8
A plane-wave DFT calculation with PBE was carried out for a geometry-optimized TbYPd6 structure.

Cell: 4.134 4.134 8.270 Å, 90.00 90.00 90.00°
Atoms (fractional coordinates):
Tb 0.000 0.000 0.500
Pd 0.000 0.500 0.250
Pd 0.500 0.500 0.000
Pd 0.500 0.500 0.500
Pd 0.000 0.500 0.750
Pd 0.500 0.000 0.750
Pd 0.500 0.000 0.250
Y 0.000 0.000 0.000

Properties
M_tot ... 0.00 Bohr magnetons per cell
Electronic total energy ... -6.13 eV per atom

=====

No. 9
A plane-wave DFT calculation with PBE was carried out for a geometry-optimized TbY4Pd structure.

Cell: 6.132 9.366 8.029 Å, 116.64 100.13 110.68°
Atoms (fractional coordinates):
Pd 0.251 0.001 0.002
Pd 0.749 0.999 0.998
Y 0.960 0.827 0.197
Y 0.769 0.715 0.650
Y 0.619 0.065 0.350
Y 0.040 0.173 0.803
Y 0.262 0.630 0.803
Y 0.231 0.285 0.350
Y 0.381 0.935 0.650
Y 0.738 0.370 0.197
Tb 0.353 0.603 0.207
Tb 0.647 0.397 0.793

Properties
M_tot ... 0.00 Bohr magnetons per cell
Electronic total energy ... -6.15 eV per atom

=====

No. 10
A plane-wave DFT calculation with PBE was carried out for a geometry-optimized TbYPd3 structure.

Cell: 6.829 7.973 7.735 Å, 90.00 90.00 90.00°
Atoms (fractional coordinates):
Tb 0.717 0.866 0.000
Tb 0.783 0.366 0.500
Tb 0.217 0.634 0.500
Tb 0.283 0.134 0.000
Y 0.783 0.367 0.000
Y 0.283 0.133 0.500
Y 0.717 0.867 0.500
Y 0.217 0.633 0.000
Pd 0.885 0.647 0.250
Pd 0.615 0.147 0.750
Pd 0.000 0.000 0.248
Pd 0.385 0.853 0.250
Pd 0.500 0.500 0.748
Pd 0.385 0.853 0.750
Pd 0.885 0.647 0.750
Pd 0.115 0.353 0.250
Pd 0.615 0.147 0.250
Pd 0.000 0.000 0.752
Pd 0.500 0.500 0.252
Pd 0.115 0.353 0.750

Properties
M_tot ... 0.00 Bohr magnetons per cell
Electronic total energy ... -6.19 eV per atom

=====

No. 11
A plane-wave DFT calculation with PBE was carried out for a geometry-optimized Tb4YPd5 structure.

Cell: 3.488 3.488 17.959 Å, 90.00 90.00 90.00°
Atoms (fractional coordinates):
Tb 0.000 0.000 0.200
Tb 0.000 0.000 0.400
Tb 0.000 0.000 0.800
Tb 0.000 0.000 0.600
Pd 0.500 0.500 0.100
Pd 0.500 0.500 0.700
Pd 0.500 0.500 0.900
Pd 0.500 0.500 0.500
Pd 0.500 0.500 0.300
Y 0.000 0.000 0.000

Properties
M_tot ... 0.00 Bohr magnetons per cell
Electronic total energy ... -5.96 eV per atom

=====

No. 12
A plane-wave DFT calculation with PBE was carried out for a geometry-optimized Tb2Y2Pd structure.

Cell: 7.657 7.048 7.828 Å, 73.28 58.01 57.10°
Atoms (fractional coordinates):
Tb 0.376 0.000 0.883
Tb 0.145 0.000 0.609
Tb 0.624 0.000 0.117
Tb 0.855 0.000 0.391
Y 0.561 0.434 0.751
Y 0.005 0.434 0.249
Y 0.995 0.566 0.751
Y 0.439 0.566 0.249
Pd 0.880 0.240 0.000
Pd 0.120 0.760 0.000

Properties
M_tot ... 0.00 Bohr magnetons per cell
Electronic total energy ... -5.73 eV per atom

=====

No. 13
A plane-wave DFT calculation with PBE was carried out for a geometry-optimized Tb3YPd4 structure.

Cell: 6.106 6.106 6.106 Å, 109.47 109.47 109.47°
Atoms (fractional coordinates):
Pd 0.500 0.500 0.500
Pd 0.000 0.500 0.000
Pd 0.500 0.000 0.000
Pd 0.000 0.000 0.500
Tb 0.500 0.000 0.500
Tb 0.500 0.500 0.000
Tb 0.000 0.500 0.500
Y 0.000 0.000 0.000

Properties
M_tot ... 0.00 Bohr magnetons per cell
Electronic total energy ... -6.01 eV per atom

=====

No. 14
A plane-wave DFT calculation with PBE was carried out for a geometry-optimized Tb3YPd6 structure.

Cell: 4.622 8.128 11.388 Å, 103.65 90.00 90.00°
Atoms (fractional coordinates):
Tb 0.250 0.485 0.378
Tb 0.750 0.638 0.187
Tb 0.250 0.811 0.007
Tb 0.750 0.515 0.622
Tb 0.750 0.189 0.993
Tb 0.250 0.362 0.813
Pd 0.250 0.853 0.300
Pd 0.750 0.854 0.814
Pd 0.750 0.332 0.252
Pd 0.250 0.040 0.846
Pd 0.750 0.960 0.154
Pd 0.750 0.562 0.918
Pd 0.250 0.668 0.748
Pd 0.750 0.147 0.700
Pd 0.750 0.733 0.444
Pd 0.250 0.267 0.556
Pd 0.250 0.438 0.082
Pd 0.250 0.146 0.186
Y 0.750 0.095 0.408
Y 0.250 0.905 0.592

Properties
M_tot ... 0.00 Bohr magnetons per cell
Electronic total energy ... -6.00 eV per atom

=====

No. 15
A plane-wave DFT calculation with PBE was carried out for a geometry-optimized TbY4Pd5 structure.

Cell: 3.486 3.486 17.939 Å, 90.00 90.00 90.00°
Atoms (fractional coordinates):
Pd 0.500 0.500 0.700
Pd 0.500 0.500 0.099
Pd 0.500 0.500 0.500
Pd 0.500 0.500 0.300
Pd 0.500 0.500 0.901
Y 0.000 0.000 0.200
Y 0.000 0.000 0.600
Y 0.000 0.000 0.800
Y 0.000 0.000 0.400
Tb 0.000 0.000 0.000

Properties
M_tot ... 0.00 Bohr magnetons per cell
Electronic total energy ... -6.51 eV per atom

=====

No. 16
A plane-wave DFT calculation with PBE was carried out for a geometry-optimized TbY4Pd2 structure.

Cell: 3.883 3.883 15.792 Å, 82.94 82.94 60.00°
Atoms (fractional coordinates):
Tb 0.500 0.500 0.500
Y 0.302 0.302 0.094
Y 0.894 0.894 0.317
Y 0.106 0.106 0.683
Y 0.698 0.698 0.906
Pd 0.402 0.402 0.794
Pd 0.598 0.598 0.206

Properties
Polymorph energy (0 for the lowest one) ... 0.541 eV/f.u.
M_tot ... 0.00 Bohr magnetons per cell
Electronic total energy ... -6.19 eV per atom

=====

No. 17
A plane-wave DFT calculation with PBE was carried out for a geometry-optimized Tb2Y2Pd3 structure.

Cell: 4.148 6.942 7.053 Å, 99.24 89.86 107.58°
Atoms (fractional coordinates):
Pd 0.000 0.000 0.000
Pd 0.749 0.506 0.254
Pd 0.251 0.494 0.746
Y 0.125 0.259 0.369
Y 0.875 0.741 0.631
Tb 0.371 0.747 0.116
Tb 0.629 0.253 0.884

Properties
M_tot ... 0.00 Bohr magnetons per cell
Electronic total energy ... -6.00 eV per atom

=====

No. 18
A plane-wave DFT calculation with PBE was carried out for a geometry-optimized TbYZnPd structure.

Cell: 5.021 5.021 5.021 Å, 60.00 60.00 60.00°
Atoms (fractional coordinates):
Y 0.750 0.750 0.750
Pd 0.500 0.500 0.500
Zn 0.000 0.000 0.000
Tb 0.250 0.250 0.250

Properties
Polymorph energy (0 for the lowest one) ... 0.099 eV/f.u.
M_tot ... 0.00 Bohr magnetons per cell
Electronic total energy ... -4.99 eV per atom

=====

No. 19
A plane-wave DFT calculation with PBE was carried out for a geometry-optimized Tb2Y2ZnPd4 structure.

Cell: 6.458 6.458 6.458 Å, 97.29 115.88 115.88°
Atoms (fractional coordinates):
Tb 0.000 0.687 0.687
Tb 0.000 0.313 0.313
Pd 0.515 0.258 0.258
Pd 0.000 0.742 0.258
Pd 0.485 0.742 0.742
Pd 0.000 0.258 0.742
Y 0.500 0.250 0.750
Y 0.500 0.750 0.250
Zn 0.000 0.000 0.000

Properties
M_tot ... 0.00 Bohr magnetons per cell
Electronic total energy ... -5.43 eV per atom

=====

No. 20
A plane-wave DFT calculation with PBE was carried out for a geometry-optimized TbYZnPd structure.

Cell: 3.568 3.568 7.020 Å, 90.00 90.00 90.00°
Atoms (fractional coordinates):
Pd 0.000 0.000 0.355
Y 0.500 0.500 0.604
Zn 0.000 0.000 0.857
Tb 0.500 0.500 0.112

Properties
Polymorph energy (0 for the lowest one) ... 0.000 eV/f.u.
M_tot ... 0.00 Bohr magnetons per cell
Electronic total energy ... -5.01 eV per atom

=====

| no. | calculated density (Mg/m³) | density of states at the Fermi level (states/eV per atom) | formation enthalpy at 0 K (eV per atom) |
| --- | --- | --- | --- |
| 1 | 7.8 | 1.18 | -0.3994 |
| 2 | 7.6 | 1.13 | -0.4692 |
| 3 | 6.4 | 1.33 | -0.4272 |
| 4 | 9.2 | 0.47 | -0.8729 |
| 5 | 6.9 | 1.31 | -0.3904 |
| 6 | 7.0 | 1.15 | -0.3690 |
| 7 | 8.2 | 0.51 | -0.7937 |
| 8 | 10.4 | 0.72 | -0.8516 |
| 9 | 5.8 | 1.35 | -0.1993 |
| 10 | 8.9 | 0.61 | -0.8573 |
| 11 | 9.6 | 0.76 | -0.8632 |
| 12 | 6.6 | 1.45 | -0.2586 |
| 13 | 9.4 | 0.72 | -0.8678 |
| 14 | 9.6 | 0.49 | -0.8445 |
| 15 | 8.0 | 0.79 | -0.8673 |
| 16 | 5.9 | 1.39 | -0.3499 |
| 17 | 7.1 | 0.84 | -0.6068 |
| 18 | 7.8 | 0.61 | -0.5978 |
| 19 | 8.2 | 0.80 | -0.5154 |
| 20 | 7.8 | 0.75 | -0.6226 |